Arrangement a

Density functional theory data (PBE) for crystalline LiTcTe at its relaxed geometry.

Cell lengths 7.2480, 6.9769, 3.0795 Å; angles 82.48, 72.61, 24.91 degrees
With the nearest neighbours (Å) after each atom.
Fractional coordinates of all 3 atoms:
Li: 0.9875 0.9875 0.0125  2 Tc 2.71
Tc: 0.3302 0.3302 0.6698  2 Te 2.61, 2 Li 2.71
Te: 0.6824 0.6824 0.3176  2 Tc 2.61

N(E_F)   1.95 states/eV/f.u.
Density   6.6 g/cm3
Symmetry   Fmm2 (42)
Total magnetization   0.0 μB/f.u.


Arrangement b

Density functional theory data (PBE) for crystalline LiTcTe at its relaxed geometry.

Cell lengths 4.8709, 4.8709, 4.8709 Å; angles 139.62, 139.62, 58.44 degrees
With the nearest neighbours (Å) after each atom.
Fractional coordinates of all 3 atoms:
Li: 0.9983 0.9983 0.0000  5 Te 2.77-2.80, 5 Tc 2.78-2.81
Tc: 0.3291 0.3291 0.0000  5 Te 2.72-2.92, 5 Li 2.78-2.81
Te: 0.6726 0.6726 0.0000  5 Tc 2.72-2.92, 5 Li 2.77-2.80

N(E_F)   0.12 states/eV/f.u.
Density   8.0 g/cm3
Symmetry   I4mm (107)
Total magnetization   0.0 μB/f.u.


The computed energies, referenced to the most stable structure and given in kJ/mol of atoms, are arrangement a 55.4; arrangement b 0.0.


Arrangement a

Density functional theory data (PBE) for crystalline LiTcTe at its relaxed geometry.

Cell lengths 4.3388, 4.3388, 4.3388 Å; angles 60.00, 60.00, 60.00 degrees
With the nearest neighbours (Å) after each atom.
Fractional coordinates of all 3 atoms:
Li: 0.0000 0.0000 0.0000  4 Te 2.66
Tc: 0.5000 0.5000 0.5000  4 Te 2.66
Te: 0.2500 0.2500 0.2500  4 Tc 2.66, 4 Li 2.66

N(E_F)   1.86 states/eV/f.u.
Density   6.7 g/cm3
Symmetry   F-43m (216)
Total magnetization   0.0 μB/f.u.


Arrangement b

Density functional theory data (PBE) for crystalline LiTcTe at its relaxed geometry.

Cell lengths 4.4520, 4.4520, 3.2513 Å; angles 90.00, 90.00, 120.00 degrees
With the nearest neighbours (Å) after each atom.
Fractional coordinates of all 3 atoms:
Li: 0.0000 0.0000 0.0002  6 Tc 3.04, 6 Te 3.04, 2 Li 3.25
Tc: 0.3333 0.6667 0.4996  3 Te 2.57
Te: 0.6667 0.3333 0.5002  3 Tc 2.57

N(E_F)   2.68 states/eV/f.u.
Density   6.9 g/cm3
Symmetry   P-6m2 (187)
Total magnetization   0.4 μB/f.u.


Arrangement c

Density functional theory data (PBE) for crystalline LiTcTe at its relaxed geometry.

Cell lengths 3.2622, 3.2622, 6.5469 Å; angles 90.00, 90.00, 120.00 degrees
With the nearest neighbours (Å) after each atom.
Fractional coordinates of all 3 atoms:
Li: 0.0000 0.0000 0.0217  3 Tc 2.86, 3 Te 3.20
Tc: 0.6667 0.3333 0.3510  3 Te 2.61, 3 Li 2.86
Te: 0.3333 0.6667 0.6273  3 Tc 2.61

N(E_F)   2.81 states/eV/f.u.
Density   6.4 g/cm3
Symmetry   P3m1 (156)
Total magnetization   0.0 μB/f.u.


The computed energies, referenced to the most stable structure and given in kJ/mol of atoms, are arrangement a 0.0; arrangement b 6.7; arrangement c 15.3.


Arrangement a

Density functional theory data (PBE) for crystalline Li2TiTc at its relaxed geometry.

Cell lengths 3.5108, 3.5108, 10.5613 Å; angles 80.43, 80.43, 90.00 degrees
With the nearest neighbours (Å) after each atom.
Fractional coordinates of all 8 atoms:
Li: 0.6402 0.1250 0.2500  4 Li 2.41-2.56
Li: 0.1098 0.6250 0.2500  4 Li 2.41-2.56
Li: 0.3750 0.3598 0.7500  4 Li 2.41-2.56
Li: 0.8750 0.8902 0.7500  4 Li 2.41-2.56
Tc: 0.0000 0.0000 0.0000  4 Ti 2.48
Tc: 0.7500 0.2500 0.5000  4 Ti 2.48
Ti: 0.5000 0.5000 0.0000  4 Tc 2.48
Ti: 0.2500 0.7500 0.5000  4 Tc 2.48

N(E_F)   3.18 states/eV/f.u.
Density   4.2 g/cm3
Symmetry   I-42d (122)
Total magnetization   0.0 μB/f.u.


Arrangement b

Density functional theory data (PBE) for crystalline Li2TiTc at its relaxed geometry.

Cell lengths 4.2487, 4.2487, 4.2487 Å; angles 60.00, 60.00, 60.00 degrees
With the nearest neighbours (Å) after each atom.
Fractional coordinates of all 4 atoms:
Li: 0.2500 0.2500 0.2500  4 Tc 2.60, 4 Ti 2.60
Li: 0.7500 0.7500 0.7500  4 Tc 2.60, 4 Ti 2.60
Tc: 0.5000 0.5000 0.5000  8 Li 2.60
Ti: 0.0000 0.0000 0.0000  8 Li 2.60

N(E_F)   4.36 states/eV/f.u.
Density   4.9 g/cm3
Symmetry   Fm-3m (225)
Total magnetization   0.0 μB/f.u.


The computed energies, referenced to the most stable structure and given in kJ/mol of atoms, are arrangement a 0.0; arrangement b 19.5.


Arrangement a

Density functional theory data (PBE) for crystalline LiTl2Tc at its relaxed geometry.

Cell lengths 9.8640, 9.8640, 9.8640 Å; angles 18.45, 18.45, 18.45 degrees
With the nearest neighbours (Å) after each atom.
Fractional coordinates of all 4 atoms:
Li: 0.4923 0.4923 0.4923  3 Tc 2.76, 3 Tl 3.08
Tc: 0.7542 0.7542 0.7542  3 Li 2.76, 3 Tl 2.91
Tl: 0.0094 0.0094 0.0094  3 Tc 2.91, 6 Tl 3.16
Tl: 0.2441 0.2441 0.2441  3 Li 3.08, 9 Tl 3.16-3.40

N(E_F)   2.60 states/eV/f.u.
Density   10.2 g/cm3
Symmetry   R3m (160)
Total magnetization   1.1 μB/f.u.


Arrangement b

Density functional theory data (PBE) for crystalline LiTl2Tc at its relaxed geometry.

Cell lengths 5.8104, 5.8104, 5.8104 Å; angles 146.27, 133.99, 58.25 degrees
With the nearest neighbours (Å) after each atom.
Fractional coordinates of all 4 atoms:
Li: 0.4811 0.4811 0.0000  4 Tl 2.85, 2 Tc 2.87
Tc: 0.2525 0.7525 0.5000  6 Tl 2.83-2.93, 2 Li 2.87
Tl: 0.0158 0.0158 0.0000  4 Li 2.85, 2 Tc 2.93, 2 Tl 3.18
Tl: 0.7506 0.2506 0.5000  4 Tc 2.83

N(E_F)   1.85 states/eV/f.u.
Density   11.0 g/cm3
Symmetry   Imm2 (44)
Total magnetization   0.5 μB/f.u.


The computed energies, referenced to the most stable structure and given in kJ/mol of atoms, are arrangement a 15.9; arrangement b 0.0.


Arrangement a

Density functional theory data (PBE) for crystalline LiTl2Tc at its relaxed geometry.

Cell lengths 4.9558, 4.9558, 4.9558 Å; angles 60.00, 60.00, 60.00 degrees
With the nearest neighbours (Å) after each atom.
Fractional coordinates of all 4 atoms:
Li: 0.5000 0.5000 0.5000  4 Tc 3.03, 4 Tl 3.03
Tc: 0.7500 0.7500 0.7500  4 Li 3.03, 4 Tl 3.03
Tl: 0.0000 0.0000 0.0000  4 Tl 3.03, 4 Tc 3.03
Tl: 0.2500 0.2500 0.2500  4 Tl 3.03, 4 Li 3.03

N(E_F)   3.93 states/eV/f.u.
Density   9.9 g/cm3
Symmetry   F-43m (216)
Total magnetization   2.9 μB/f.u.


Arrangement b

Density functional theory data (PBE) for crystalline LiTl2Tc at its relaxed geometry.

Cell lengths 4.7493, 4.7493, 4.7493 Å; angles 60.00, 60.00, 60.00 degrees
With the nearest neighbours (Å) after each atom.
Fractional coordinates of all 4 atoms:
Tl: 0.2500 0.2500 0.2500  4 Tc 2.91, 4 Li 2.91
Tl: 0.7500 0.7500 0.7500  4 Li 2.91, 4 Tc 2.91
Tc: 0.5000 0.5000 0.5000  8 Tl 2.91
Li: 0.0000 0.0000 0.0000  8 Tl 2.91

N(E_F)   2.43 states/eV/f.u.
Density   11.3 g/cm3
Symmetry   Fm-3m (225)
Total magnetization   0.0 μB/f.u.


The computed energies, referenced to the most stable structure and given in kJ/mol of atoms, are arrangement a 29.1; arrangement b 0.0.


Arrangement a

Density functional theory data (PBE) for crystalline LiTl2Tc at its relaxed geometry.

Cell lengths 4.4534, 4.4534, 9.9584 Å; angles 77.08, 77.08, 90.00 degrees
With the nearest neighbours (Å) after each atom.
Fractional coordinates of all 8 atoms:
Tl: 0.6318 0.1250 0.2500  2 Tc 2.83, 2 Li 2.85, 2 Tl 3.11
Tl: 0.1182 0.6250 0.2500  2 Tc 2.83, 2 Li 2.85, 2 Tl 3.11
Tl: 0.3750 0.3682 0.7500  2 Tc 2.83, 2 Li 2.85, 2 Tl 3.11
Tl: 0.8750 0.8818 0.7500  2 Tc 2.83, 2 Li 2.85, 2 Tl 3.11
Tc: 0.0000 0.0000 0.0000  4 Tl 2.83, 4 Li 3.15
Tc: 0.7500 0.2500 0.5000  4 Tl 2.83, 4 Li 3.15
Li: 0.5000 0.5000 0.0000  4 Tl 2.85, 4 Tc 3.15
Li: 0.2500 0.7500 0.5000  4 Tl 2.85, 4 Tc 3.15

N(E_F)   2.05 states/eV/f.u.
Density   9.1 g/cm3
Symmetry   I-42d (122)
Total magnetization   2.1 μB/f.u.


Arrangement b

Density functional theory data (PBE) for crystalline LiTl2Tc at its relaxed geometry.

Cell lengths 3.7145, 3.7145, 5.8330 Å; angles 90.00, 90.00, 90.00 degrees
With the nearest neighbours (Å) after each atom.
Fractional coordinates of all 4 atoms:
Li: 0.0000 0.0000 0.5030  1 Tl 2.56
Tc: 0.5000 0.5000 0.7673  6 Tl 2.80-3.03, 4 Li 3.05
Tl: 0.0000 0.0000 0.9423  1 Li 2.56, 4 Tc 2.82
Tl: 0.5000 0.5000 0.2873  2 Tc 2.80-3.03, 4 Li 2.91

N(E_F)   3.16 states/eV/f.u.
Density   10.6 g/cm3
Symmetry   P4mm (99)
Total magnetization   0.8 μB/f.u.


Arrangement c

Density functional theory data (PBE) for crystalline LiTl2Tc at its relaxed geometry.

Cell lengths 5.5237, 5.5237, 4.6997 Å; angles 74.63, 74.63, 34.52 degrees
With the nearest neighbours (Å) after each atom.
Fractional coordinates of all 4 atoms:
Li: 0.5087 0.5087 0.5421  5 Tl 2.75-2.99
Tc: 0.2534 0.2534 0.1834  7 Tl 2.85-2.95, 2 Li 3.13
Tl: 0.9887 0.9887 0.0856  4 Li 2.75-2.99, 3 Tc 2.90-2.95
Tl: 0.7492 0.7492 0.6888  3 Li 2.81-3.10, 4 Tc 2.85-2.88

N(E_F)   1.86 states/eV/f.u.
Density   10.9 g/cm3
Symmetry   Cm (8)
Total magnetization   0.6 μB/f.u.


Arrangement d

Density functional theory data (PBE) for crystalline LiTl2Tc at its relaxed geometry.

Cell lengths 3.3380, 3.3380, 7.3154 Å; angles 90.00, 90.00, 90.00 degrees
With the nearest neighbours (Å) after each atom.
Fractional coordinates of all 4 atoms:
Li: 0.0000 0.0000 0.5271  4 Tc 2.74, 4 Tl 2.87
Tc: 0.5000 0.5000 0.7167  4 Li 2.74, 5 Tl 2.92-3.01
Tl: 0.0000 0.0000 0.9515  4 Tc 2.92, 1 Li 3.10
Tl: 0.5000 0.5000 0.3048  4 Li 2.87, 1 Tc 3.01

N(E_F)   2.53 states/eV/f.u.
Density   10.5 g/cm3
Symmetry   P4mm (99)
Total magnetization   1.9 μB/f.u.


The computed energies, referenced to the most stable structure and given in kJ/mol of atoms, are arrangement a 36.7; arrangement b 9.3; arrangement c 0.0; arrangement d 13.9.